<a>
DFT (GGA-PBE) results for a geometry-optimized TmSiSb structure.

The structure in POSCAR format:
```
TmSiSb
1.0
0.739 3.343 3.495
-3.750 2.658 1.676
-1.714 -0.764 4.518
Si Sb Tm
1 1 1
Cartesian
-3.544 3.927 7.267
-1.181 1.309 2.422
0.000 0.000 0.000
```

Values from the calculation:
As for the crystal system: cubic.

=====

<b>
DFT (GGA-PBE) results for a geometry-optimized TmSiSb structure.

The structure in POSCAR format:
```
TmSiSb
1.0
0.000 3.390 3.390
3.390 0.000 3.390
3.390 3.390 0.000
Si Tm Sb
1 1 1
Cartesian
0.000 0.000 0.000
5.085 5.085 5.085
1.695 1.695 1.695
```

Values from the calculation:
As for the crystal system: cubic.

=====

Result of the stability comparison: <a> is the least stable of them.

=====

<a>
DFT (GGA-PBE) results for a geometry-optimized SmSnSb structure.

The structure in POSCAR format:
```
SmSnSb
1.0
0.631 -3.200 4.065
-3.320 0.198 4.013
-3.365 -3.900 0.794
Sb Sm Sn
1 1 1
Cartesian
-1.513 -1.725 2.218
0.000 0.000 0.000
-4.540 -5.176 6.654
```

Values from the calculation:
As for the crystal system: cubic.

=====

<b>
DFT (GGA-PBE) results for a geometry-optimized SmSnSb structure.

The structure in POSCAR format:
```
SmSnSb
1.0
-4.674 -0.923 2.114
-2.207 3.561 3.101
-4.173 2.658 -1.641
Sm Sn Sb
1 1 1
Cartesian
-2.764 1.324 0.894
-8.291 3.972 2.681
0.000 0.000 0.000
```

Values from the calculation:
As for the crystal system: cubic.

=====

Result of the stability comparison: <a> is the least stable of them.

=====

<a>
DFT (GGA-PBE) results for a geometry-optimized SmTaSb structure.

The structure in POSCAR format:
```
SmTaSb
1.0
-1.864 3.718 2.885
-0.083 4.753 -1.739
-4.407 2.176 -1.211
Sb Sm Ta
1 1 1
Cartesian
-1.589 2.662 -0.016
0.000 0.000 0.000
-4.766 7.985 -0.048
```

Values from the calculation:
As for the crystal system: cubic.

=====

<b>
DFT (GGA-PBE) results for a geometry-optimized SmTaSb structure.

The structure in POSCAR format:
```
SmTaSb
1.0
4.658 1.309 0.329
1.212 4.092 2.303
2.281 -0.208 4.274
Ta Sm Sb
1 1 1
Cartesian
6.113 3.895 5.179
2.038 1.298 1.726
0.000 0.000 0.000
```

Values from the calculation:
As for the crystal system: cubic.

=====

Result of the stability comparison: <a> is the least stable of them.

=====

<a>
DFT (GGA-PBE) results for a geometry-optimized SmTcSb structure.

The structure in POSCAR format:
```
SmTcSb
1.0
1.457 -0.177 4.553
-2.807 1.707 3.478
-2.103 -3.007 3.069
Sm Sb Tc
1 1 1
Cartesian
-0.863 -0.369 2.775
0.000 0.000 0.000
-2.590 -1.108 8.325
```

Values from the calculation:
As for the crystal system: cubic.

=====

<b>
DFT (GGA-PBE) results for a geometry-optimized SmTcSb structure.

The structure in POSCAR format:
```
SmTcSb
1.0
0.000 3.456 3.456
3.456 0.000 3.456
3.456 3.456 0.000
Sb Tc Sm
1 1 1
Cartesian
1.728 1.728 1.728
5.184 5.184 5.184
0.000 0.000 0.000
```

Values from the calculation:
As for the crystal system: cubic.

=====

Result of the stability comparison: <b> is the least stable of them.